[1]
The following is a PBE calculation of crystalline Y2ZrFe at its relaxed geometry, from the Alexandria database.

```
data_Y2ZrFe
_cell_length_a 7.2022
_cell_length_b 7.2022
_cell_length_c 7.2022
_cell_angle_alpha 90.00
_cell_angle_beta 90.00
_cell_angle_gamma 90.00
_space_group_name_H-M_alt 'F -4 3 m'
_space_group_IT_number 216
_space_group_name_Hall 'F -4 2 3'
loop_
_atom_site_label
_atom_site_fract_x
_atom_site_fract_y
_atom_site_fract_z
Y1 0.0000 0.0000 0.0000
Y2 0.2500 0.2500 0.2500
Zr1 0.2500 0.2500 0.7500
Fe1 0.0000 0.0000 0.5000
```

* crystal system: cubic
* energy above the lowest structure with this stoichiometry: 363 meV per atom


[2]
The following is a PBE calculation of crystalline Na2TbO3 at its relaxed geometry, from the Alexandria database.

```
data_Na2TbO3
_cell_length_a 5.9982
_cell_length_b 10.3492
_cell_length_c 5.9388
_cell_angle_alpha 90.00
_cell_angle_beta 110.16
_cell_angle_gamma 90.00
_space_group_name_H-M_alt 'C 1 2/m 1'
_space_group_IT_number 12
loop_
_space_group_symop_operation_xyz
'x,y,z'
'-x,-y,-z'
'-x,y,-z'
'x,-y,z'
'x+1/2,y+1/2,z'
'-x+1/2,-y+1/2,-z'
'-x+1/2,y+1/2,-z'
'x+1/2,-y+1/2,z'
loop_
_atom_site_label
_atom_site_fract_x
_atom_site_fract_y
_atom_site_fract_z
Na1 0.0000 0.0000 0.0000
Na2 0.0000 0.1587 0.5000
Na3 0.0000 0.5000 0.5000
Tb1 0.0000 0.3340 0.0000
O1 0.2145 0.5000 0.2281
O2 0.2424 0.3186 0.7782
```

* crystal system: monoclinic
* E_form (uncorrected): -1216 kJ/mol of formula units